Record 1
Computed, not measured: a relaxed K9Li3Gd3B7O21 crystal at the PBE-GGA level of DFT.

Unit cell a=11.2664 b=9.8984 c=12.2346 alpha=90.00 beta=122.48 gamma=90.00
Last column: nearest neighbours and their distance in Å.
Positions (direct):
K: 0.0000 0.0776 0.2500  6 O 2.53-2.75
K: 0.0000 0.9224 0.7500  6 O 2.53-2.75
K: 0.0907 0.3839 0.4483  5 O 2.63-2.83
K: 0.0907 0.6161 0.9483  5 O 2.63-2.83
K: 0.1678 0.0724 0.5885  7 O 2.67-2.88
K: 0.1678 0.9276 0.0885  7 O 2.67-2.88
K: 0.3363 0.0951 0.9392  4 O 2.73-2.94
K: 0.3363 0.9049 0.4392  4 O 2.73-2.94
K: 0.3869 0.4632 0.0542  6 O 2.61-2.80
K: 0.3869 0.5368 0.5542  6 O 2.61-2.80
K: 0.6131 0.4632 0.4458  6 O 2.61-2.80
K: 0.6131 0.5368 0.9458  6 O 2.61-2.80
K: 0.6637 0.0951 0.5608  4 O 2.73-2.94
K: 0.6637 0.9049 0.0608  4 O 2.73-2.94
K: 0.8322 0.0724 0.9115  7 O 2.67-2.88
K: 0.8322 0.9276 0.4115  7 O 2.67-2.88
K: 0.9093 0.3839 0.0517  5 O 2.63-2.83
K: 0.9093 0.6161 0.5517  5 O 2.63-2.83
Li: 0.4086 0.2948 0.7774  4 O 1.93-2.06
Li: 0.4086 0.7052 0.2774  4 O 1.93-2.06
Li: 0.5000 0.0774 0.7500  4 O 1.86-1.94
Li: 0.5000 0.9226 0.2500  4 O 1.86-1.94
Li: 0.5914 0.2948 0.7226  4 O 1.93-2.06
Li: 0.5914 0.7052 0.2226  4 O 1.93-2.06
Gd: 0.0000 0.3189 0.7500  8 O 2.37-2.49
Gd: 0.0000 0.6811 0.2500  8 O 2.37-2.49
Gd: 0.2912 0.2921 0.2591  7 O 2.31-2.54
Gd: 0.2912 0.7079 0.7591  7 O 2.31-2.54
Gd: 0.7088 0.2921 0.2409  7 O 2.31-2.54
Gd: 0.7088 0.7079 0.7409  7 O 2.31-2.54
B: 0.1003 0.2214 0.9955  3 O 1.38-1.39
B: 0.1003 0.7786 0.4955  3 O 1.38-1.39
B: 0.2336 0.4281 0.7554  3 O 1.38-1.39
B: 0.2336 0.5719 0.2554  3 O 1.38-1.39
B: 0.3643 0.2292 0.5042  3 O 1.36-1.39
B: 0.3643 0.7708 0.0042  3 O 1.36-1.39
B: 0.5000 0.1431 0.2500  3 O 1.39
B: 0.5000 0.8569 0.7500  3 O 1.39
B: 0.6357 0.2292 0.9958  3 O 1.36-1.39
B: 0.6357 0.7708 0.4958  3 O 1.36-1.39
B: 0.7664 0.4281 0.7446  3 O 1.38-1.39
B: 0.7664 0.5719 0.2446  3 O 1.38-1.39
B: 0.8997 0.2214 0.5045  3 O 1.38-1.39
B: 0.8997 0.7786 0.0045  3 O 1.38-1.39
O: 0.0728 0.1350 0.8961  1 B 1.38
O: 0.0728 0.8650 0.3961  1 B 1.38
O: 0.0926 0.1809 0.1003  1 B 1.39
O: 0.0926 0.8191 0.6003  1 B 1.39
O: 0.1342 0.3548 0.9886  1 B 1.39
O: 0.1342 0.6452 0.4886  1 B 1.39
O: 0.1434 0.4831 0.2647  1 B 1.39
O: 0.1434 0.5169 0.7647  1 B 1.39
O: 0.2125 0.2896 0.7529  1 B 1.39
O: 0.2125 0.7104 0.2529  1 B 1.39
O: 0.2375 0.1865 0.3978  1 B 1.38
O: 0.2375 0.8135 0.8978  1 B 1.38
O: 0.3445 0.4800 0.7507  1 B 1.38
O: 0.3445 0.5200 0.2507  1 B 1.38
O: 0.3979 0.2113 0.6283  1 B 1.36
O: 0.3979 0.7887 0.1283  1 B 1.36
O: 0.4019 0.0755 0.2652  1 B 1.39
O: 0.4019 0.9245 0.7652  1 B 1.39
O: 0.4573 0.2965 0.4809  1 B 1.39
O: 0.4573 0.7035 0.9809  1 B 1.39
O: 0.5000 0.2832 0.2500  1 B 1.39
O: 0.5000 0.7168 0.7500  1 B 1.39
O: 0.5427 0.2965 0.0191  1 B 1.39
O: 0.5427 0.7035 0.5191  1 B 1.39
O: 0.5981 0.0755 0.2348  1 B 1.39
O: 0.5981 0.9245 0.7348  1 B 1.39
O: 0.6021 0.2113 0.8717  1 B 1.36
O: 0.6021 0.7887 0.3717  1 B 1.36
O: 0.6555 0.4800 0.7493  1 B 1.38
O: 0.6555 0.5200 0.2493  1 B 1.38
O: 0.7625 0.1865 0.1022  1 B 1.38
O: 0.7625 0.8135 0.6022  1 B 1.38
O: 0.7875 0.2896 0.7471  1 B 1.39
O: 0.7875 0.7104 0.2471  1 B 1.39
O: 0.8566 0.4831 0.2353  1 B 1.39
O: 0.8566 0.5169 0.7353  1 B 1.39
O: 0.8658 0.3548 0.5114  1 B 1.39
O: 0.8658 0.6452 0.0114  1 B 1.39
O: 0.9074 0.1809 0.3997  1 B 1.39
O: 0.9074 0.8191 0.8997  1 B 1.39
O: 0.9272 0.1350 0.6039  1 B 1.38
O: 0.9272 0.8650 0.1039  1 B 1.38

Output
Raw total energy, Ry per atom: -0.4880
Size of the total moment, μB per cell: 0.01
Crystal system: monoclinic

Record 2
Computed, not measured: a relaxed LiGdB crystal at the PBE-GGA level of DFT.

Unit cell a=4.1238 b=4.1238 c=4.1238 alpha=60.00 beta=60.00 gamma=60.00
Last column: nearest neighbours and their distance in Å.
Positions (direct):
Li: 0.0000 0.0000 0.0000  4 B 2.53, 4 Gd 2.53
Gd: 0.2500 0.2500 0.2500  4 Li 2.53
B: 0.7500 0.7500 0.7500  4 Li 2.53

Output
Size of the total moment, μB per cell: 0.00
Polymorph energy (0 for the lowest one), meV per atom: 390.7
Crystal system: cubic

Record 3
Computed, not measured: a relaxed LiGdB crystal at the PBE-GGA level of DFT.

Unit cell a=4.2412 b=4.2412 c=4.2412 alpha=60.00 beta=60.00 gamma=60.00
Last column: nearest neighbours and their distance in Å.
Positions (direct):
Li: 0.0000 0.0000 0.0000  4 B 2.60
Gd: 0.5000 0.5000 0.5000  4 B 2.60
B: 0.7500 0.7500 0.7500  4 Gd 2.60, 4 Li 2.60

Output
Size of the total moment, μB per cell: 0.01
Polymorph energy (0 for the lowest one), meV per atom: 0.0
Crystal system: cubic

Record 4
Computed, not measured: a relaxed LiGdB4 crystal at the PBE-GGA level of DFT.

Unit cell a=3.2352 b=3.2352 c=6.2774 alpha=90.00 beta=90.00 gamma=120.00
Last column: nearest neighbours and their distance in Å.
Positions (direct):
Li: 0.0000 0.0000 0.0000  12 B 2.22
Gd: 0.0000 0.0000 0.5000  12 B 2.69
B: 0.3333 0.6667 0.1914  3 B 1.87
B: 0.3333 0.6667 0.8086  3 B 1.87
B: 0.6667 0.3333 0.1914  3 B 1.87
B: 0.6667 0.3333 0.8086  3 B 1.87

Output
Size of the total moment, μB per cell: 0.00
Polymorph energy (0 for the lowest one), meV per atom: 33.9
Crystal system: hexagonal

Record 5
Computed, not measured: a relaxed LiGdB crystal at the PBE-GGA level of DFT.

Unit cell a=4.2762 b=4.2762 c=4.2762 alpha=60.00 beta=60.00 gamma=60.00
Last column: nearest neighbours and their distance in Å.
Positions (direct):
Li: 0.0000 0.0000 0.0000  4 Gd 2.62
Gd: 0.7500 0.7500 0.7500  4 B 2.62, 4 Li 2.62
B: 0.5000 0.5000 0.5000  4 Gd 2.62

Output
Size of the total moment, μB per cell: 0.01
Polymorph energy (0 for the lowest one), meV per atom: 578.7
Crystal system: cubic

Record 6
Computed, not measured: a relaxed LiGdB4 crystal at the PBE-GGA level of DFT.

Unit cell a=5.0088 b=5.0088 c=5.0088 alpha=143.39 beta=114.91 gamma=77.06
Last column: nearest neighbours and their distance in Å.
Positions (direct):
Li: 0.0000 0.0000 0.0000  12 B 2.60-2.71
Gd: 0.5000 0.5000 0.0000  12 B 2.65-2.66
B: 0.0794 0.7550 0.3244  3 B 1.77-1.89
B: 0.4306 0.7550 0.6756  3 B 1.77-1.89
B: 0.5694 0.2450 0.3244  3 B 1.77-1.89
B: 0.9206 0.2450 0.6756  3 B 1.77-1.89

Output
Size of the total moment, μB per cell: 0.00
Polymorph energy (0 for the lowest one), meV per atom: 0.0
Crystal system: orthorhombic

Record 7
Computed, not measured: a relaxed Li3GdB2O6 crystal at the PBE-GGA level of DFT.

Unit cell a=8.6827 b=6.3703 c=10.0293 alpha=90.00 beta=117.01 gamma=90.00
Last column: nearest neighbours and their distance in Å.
Positions (direct):
Li: 0.1027 0.2424 0.4789  4 O 1.92-2.06
Li: 0.1027 0.2576 0.9789  4 O 1.92-2.06
Li: 0.2064 0.5597 0.1669  4 O 1.93-2.05
Li: 0.2064 0.9403 0.6669  4 O 1.93-2.05
Li: 0.3335 0.7214 0.5396  4 O 1.86-1.95
Li: 0.3335 0.7786 0.0396  4 O 1.86-1.95
Li: 0.6665 0.2214 0.9604  4 O 1.86-1.95
Li: 0.6665 0.2786 0.4604  4 O 1.86-1.95
Li: 0.7936 0.0597 0.3331  4 O 1.93-2.05
Li: 0.7936 0.4403 0.8331  4 O 1.93-2.05
Li: 0.8973 0.7424 0.0211  4 O 1.92-2.06
Li: 0.8973 0.7576 0.5211  4 O 1.92-2.06
Gd: 0.3191 0.0262 0.2996  7 O 2.30-2.49
Gd: 0.3191 0.4738 0.7996  7 O 2.30-2.49
Gd: 0.6809 0.5262 0.2004  7 O 2.30-2.49
Gd: 0.6809 0.9738 0.7004  7 O 2.30-2.49
B: 0.0401 0.6624 0.8221  3 O 1.38-1.40
B: 0.0401 0.8376 0.3221  3 O 1.38-1.40
B: 0.4458 0.1692 0.1052  3 O 1.37-1.39
B: 0.4458 0.3308 0.6052  3 O 1.37-1.39
B: 0.5542 0.6692 0.3948  3 O 1.37-1.39
B: 0.5542 0.8308 0.8948  3 O 1.37-1.39
B: 0.9599 0.1624 0.6779  3 O 1.38-1.40
B: 0.9599 0.3376 0.1779  3 O 1.38-1.40
O: 0.0913 0.7106 0.7127  1 B 1.39
O: 0.0913 0.7894 0.2127  1 B 1.39
O: 0.1202 0.2107 0.6901  1 B 1.38
O: 0.1202 0.2893 0.1901  1 B 1.38
O: 0.1632 0.5571 0.9482  1 B 1.40
O: 0.1632 0.9429 0.4482  1 B 1.40
O: 0.2928 0.0620 0.0575  1 B 1.37
O: 0.2928 0.4380 0.5575  1 B 1.37
O: 0.4419 0.6779 0.2423  1 B 1.39
O: 0.4419 0.8221 0.7423  1 B 1.39
O: 0.4896 0.2159 0.5115  1 B 1.37
O: 0.4896 0.2841 0.0115  1 B 1.37
O: 0.5104 0.7159 0.9885  1 B 1.37
O: 0.5104 0.7841 0.4885  1 B 1.37
O: 0.5581 0.1779 0.2577  1 B 1.39
O: 0.5581 0.3221 0.7577  1 B 1.39
O: 0.7072 0.5620 0.4425  1 B 1.37
O: 0.7072 0.9380 0.9425  1 B 1.37
O: 0.8368 0.0571 0.5518  1 B 1.40
O: 0.8368 0.4429 0.0518  1 B 1.40
O: 0.8798 0.7107 0.8099  1 B 1.38
O: 0.8798 0.7893 0.3099  1 B 1.38
O: 0.9087 0.2106 0.7873  1 B 1.39
O: 0.9087 0.2894 0.2873  1 B 1.39

Output
Raw total energy, Ry per atom: -0.5202
Size of the total moment, μB per cell: 0.01
Crystal system: monoclinic

Record 8
Computed, not measured: a relaxed Li6GdB3O9 crystal at the PBE-GGA level of DFT.

Unit cell a=7.1830 b=16.3708 c=6.6209 alpha=90.00 beta=105.15 gamma=90.00
Last column: nearest neighbours and their distance in Å.
Positions (direct):
Li: 0.0422 0.0298 0.1690  4 O 1.89-2.10
Li: 0.0422 0.4702 0.6690  4 O 1.89-2.10
Li: 0.0610 0.7045 0.0437  5 O 1.98-2.13
Li: 0.0610 0.7955 0.5437  5 O 1.98-2.13
Li: 0.1937 0.5329 0.0540  3 O 1.93-2.06
Li: 0.1937 0.9671 0.5540  3 O 1.93-2.06
Li: 0.2135 0.2052 0.8676  4 O 1.95-2.10
Li: 0.2135 0.2948 0.3676  4 O 1.95-2.10
Li: 0.3640 0.0546 0.9146  3 O 1.89-2.05
Li: 0.3640 0.4454 0.4146  3 O 1.89-2.05
Li: 0.4278 0.0044 0.3214  4 O 1.85-1.94
Li: 0.4278 0.4956 0.8214  4 O 1.85-1.94
Li: 0.5722 0.5044 0.1786  4 O 1.85-1.94
Li: 0.5722 0.9956 0.6786  4 O 1.85-1.94
Li: 0.6360 0.5546 0.5854  3 O 1.89-2.05
Li: 0.6360 0.9454 0.0854  3 O 1.89-2.05
Li: 0.7865 0.7052 0.6324  4 O 1.95-2.10
Li: 0.7865 0.7948 0.1324  4 O 1.95-2.10
Li: 0.8063 0.0329 0.4460  3 O 1.93-2.06
Li: 0.8063 0.4671 0.9460  3 O 1.93-2.06
Li: 0.9390 0.2045 0.4563  5 O 1.98-2.13
Li: 0.9390 0.2955 0.9563  5 O 1.98-2.13
Li: 0.9578 0.5298 0.3310  4 O 1.89-2.10
Li: 0.9578 0.9702 0.8310  4 O 1.89-2.10
Gd: 0.4205 0.6900 0.8468  8 O 2.30-2.53
Gd: 0.4205 0.8100 0.3468  8 O 2.30-2.53
Gd: 0.5795 0.1900 0.6532  8 O 2.30-2.53
Gd: 0.5795 0.3100 0.1532  8 O 2.30-2.53
B: 0.0593 0.6154 0.6867  3 O 1.38-1.39
B: 0.0593 0.8846 0.1867  3 O 1.38-1.39
B: 0.2113 0.1206 0.5002  3 O 1.36-1.39
B: 0.2113 0.3794 0.0002  3 O 1.36-1.39
B: 0.4141 0.6346 0.3378  3 O 1.36-1.39
B: 0.4141 0.8654 0.8378  3 O 1.36-1.39
B: 0.5859 0.1346 0.1622  3 O 1.36-1.39
B: 0.5859 0.3654 0.6622  3 O 1.36-1.39
B: 0.7887 0.6206 0.9998  3 O 1.36-1.39
B: 0.7887 0.8794 0.4998  3 O 1.36-1.39
B: 0.9407 0.1154 0.8133  3 O 1.38-1.39
B: 0.9407 0.3846 0.3133  3 O 1.38-1.39
O: 0.0340 0.0877 0.4138  1 B 1.36
O: 0.0340 0.4123 0.9138  1 B 1.36
O: 0.0773 0.6987 0.7273  1 B 1.39
O: 0.0773 0.8013 0.2273  1 B 1.39
O: 0.1086 0.0791 0.9265  1 B 1.38
O: 0.1086 0.4209 0.4265  1 B 1.38
O: 0.2227 0.5679 0.7664  1 B 1.39
O: 0.2227 0.9321 0.2664  1 B 1.39
O: 0.2367 0.2025 0.5582  1 B 1.39
O: 0.2367 0.2975 0.0582  1 B 1.39
O: 0.3484 0.6844 0.1646  1 B 1.39
O: 0.3484 0.8156 0.6646  1 B 1.39
O: 0.3783 0.0733 0.5405  1 B 1.39
O: 0.3783 0.4267 0.0405  1 B 1.39
O: 0.4076 0.5520 0.3249  1 B 1.36
O: 0.4076 0.9480 0.8249  1 B 1.36
O: 0.4974 0.6733 0.5273  1 B 1.39
O: 0.4974 0.8267 0.0273  1 B 1.39
O: 0.5026 0.1733 0.9727  1 B 1.39
O: 0.5026 0.3267 0.4727  1 B 1.39
O: 0.5924 0.0520 0.1751  1 B 1.36
O: 0.5924 0.4480 0.6751  1 B 1.36
O: 0.6217 0.5733 0.9595  1 B 1.39
O: 0.6217 0.9267 0.4595  1 B 1.39
O: 0.6516 0.1844 0.3354  1 B 1.39
O: 0.6516 0.3156 0.8354  1 B 1.39
O: 0.7633 0.7025 0.9418  1 B 1.39
O: 0.7633 0.7975 0.4418  1 B 1.39
O: 0.7773 0.0679 0.7336  1 B 1.39
O: 0.7773 0.4321 0.2336  1 B 1.39
O: 0.8914 0.5791 0.5735  1 B 1.38
O: 0.8914 0.9209 0.0735  1 B 1.38
O: 0.9227 0.1987 0.7727  1 B 1.39
O: 0.9227 0.3013 0.2727  1 B 1.39
O: 0.9660 0.5877 0.0862  1 B 1.36
O: 0.9660 0.9123 0.5862  1 B 1.36

Output
Raw total energy, Ry per atom: -0.4948
Size of the total moment, μB per cell: 0.01
Crystal system: monoclinic

Computed values of calculated volume (unit: Å³ per cell) for the preceding records, in sequence: 1150.9, 49.6, 53.9, 56.9, 55.3, 66.4, 494.2, 751.5.